First-principles (SCAN) data for a crystal of Sc5Cd relaxed with PBEsol, as listed in Alexandria via LeMat-Bulk.

Calculated total energy = -17.007 eV per atom
Calculated volume = 22.71 Å³ per atom
Offset from the most stable computed form = 3.50 kJ/mol of atoms
ΔE_f = -0.44 eV/f.u.
Total magnetic moment = 4.50 μB/f.u.

Unit cell a=5.094 b=5.557 c=5.557 alpha=120.00 beta=90.00 gamma=90.00
Positions (direct):
Sc1 0.000 0.322 0.322
Sc2 0.000 0.678 0.000
Sc3 0.000 0.000 0.678
Sc4 0.500 0.333 0.667
Sc5 0.500 0.667 0.333
Cd1 0.500 0.000 0.000


First-principles (SCAN) data for a crystal of Sc3Cd relaxed with PBEsol, as listed in Alexandria via LeMat-Bulk.

Calculated total energy = -18.362 eV per atom
Calculated volume = 22.04 Å³ per atom
Offset from the most stable computed form = 13.73 kJ/mol of atoms
ΔE_f = -0.32 eV/f.u.
Total magnetic moment = 0.86 μB/f.u.

Unit cell a=4.996 b=4.996 c=4.996 alpha=60.00 beta=60.00 gamma=60.00
Positions (direct):
Cd1 0.000 0.000 0.000
Sc1 0.250 0.250 0.250
Sc2 0.500 0.500 0.500
Sc3 0.750 0.750 0.750


What did the first record say?
First-principles (SCAN) data for a crystal of Sc5Cd relaxed with PBEsol, as listed in Alexandria via LeMat-Bulk.

Calculated total energy = -17.007 eV per atom
Calculated volume = 22.71 Å³ per atom
Offset from the most stable computed form = 3.50 kJ/mol of atoms
ΔE_f = -0.44 eV/f.u.
Total magnetic moment = 4.50 μB/f.u.

Unit cell a=5.094 b=5.557 c=5.557 alpha=120.00 beta=90.00 gamma=90.00
Positions (direct):
Sc1 0.000 0.322 0.322
Sc2 0.000 0.678 0.000
Sc3 0.000 0.000 0.678
Sc4 0.500 0.333 0.667
Sc5 0.500 0.667 0.333
Cd1 0.500 0.000 0.000